1.
Entry from Alexandria: crystalline YCdAu4 at its relaxed geometry (GGA-PBE).

Computed properties:
Formation energy from the elements ... -487 meV/atom

```
YCdAu4
1.0
-1.790 1.639 -3.092
0.999 -2.488 -4.396
-7.054 -1.356 0.866
Au Y Cd
4 1 1
Direct
0.830 0.503 0.836 Au
0.339 0.997 0.326 Au
0.170 0.497 0.164 Au
0.661 0.003 0.674 Au
0.500 0.500 0.500 Y
0.000 0.000 0.000 Cd
```

***

2.
Entry from Alexandria: crystalline Li3Nd3US8 at its relaxed geometry (GGA-PBE).

Computed properties:
Raw formation energy ... -25.307 eV per formula unit

```
Li3Nd3US8
1.0
8.137 0.000 0.000
-4.069 7.045 -0.025
0.000 -4.680 6.183
Li Nd S U
3 3 8 1
Direct
0.000 0.500 0.000 Li
0.500 0.500 0.000 Li
0.000 0.000 0.000 Li
0.500 0.500 0.500 Nd
0.000 0.500 0.500 Nd
0.500 0.000 0.500 Nd
0.234 0.994 0.255 S
0.760 0.994 0.255 S
0.248 0.495 0.244 S
0.240 0.006 0.745 S
0.766 0.006 0.745 S
0.240 0.480 0.745 S
0.760 0.520 0.255 S
0.752 0.505 0.756 S
0.000 0.000 0.500 U
```

***

3.
Entry from Alexandria: crystalline InHgMo3 at its relaxed geometry (GGA-PBE).

Computed properties:
Formation energy from the elements ... 2349 meV/atom
Distance to the lowest polymorph of the same formula ... 0.027 eV/atom

```
InHgMo3
1.0
-1.117 4.703 -1.054
-1.381 0.725 4.695
4.617 1.355 1.149
Mo In Hg
3 1 1
Direct
0.500 0.000 0.000 Mo
0.000 0.500 0.000 Mo
0.000 0.000 0.500 Mo
0.500 0.500 0.500 In
0.000 0.000 0.000 Hg
```

***

4.
Entry from Alexandria: crystalline LiMnCd3 at its relaxed geometry (GGA-PBE).

Computed properties:
Formation energy from the elements ... 506 meV/atom
Distance to the lowest polymorph of the same formula ... 0.081 eV/atom

```
LiMnCd3
1.0
4.754 0.000 0.000
0.000 4.754 0.000
0.000 0.000 4.754
Cd Li Mn
3 1 1
Direct
0.500 0.000 0.000 Cd
0.000 0.000 0.500 Cd
0.000 0.500 0.000 Cd
0.000 0.000 0.000 Li
0.500 0.500 0.500 Mn
```

***

5.
Entry from Alexandria: crystalline MgAsOs2 at its relaxed geometry (GGA-PBE).

Computed properties:
Formation energy from the elements ... 306 meV/atom
Distance to the lowest polymorph of the same formula ... 0.172 eV/atom

```
MgAsOs2
1.0
-0.226 -3.028 -0.413
1.112 0.305 -2.839
5.869 -0.740 2.219
Os As Mg
2 1 1
Direct
0.000 0.000 0.479 Os
0.000 0.000 0.021 Os
0.500 0.500 0.250 As
0.500 0.500 0.750 Mg
```

***

6.
Entry from Alexandria: crystalline KAlC3 at its relaxed geometry (GGA-PBE).

Computed properties:
Formation energy from the elements ... 4189 meV/atom
Distance to the lowest polymorph of the same formula ... 2.063 eV/atom

```
KAlC3
1.0
4.626 0.000 0.000
0.000 4.626 0.000
0.000 0.000 4.626
Al C K
1 3 1
Direct
0.500 0.500 0.500 Al
0.500 0.000 0.000 C
0.000 0.500 0.000 C
0.000 0.000 0.500 C
0.000 0.000 0.000 K
```